1 | ## CaZnI2N (GGA-PBE)

Data for a relaxed CaZnI2N crystal.

Unit cell a=5.904 b=5.904 c=3.827 alpha=90.00 beta=90.00 gamma=90.00
Last column: magnetic moment on the atom in μB.
Positions (direct):
I1 0.000 0.500 0.000  0.05
I2 0.500 0.000 0.000  0.05
Zn1 0.000 0.000 0.000  0.01
N1 0.000 0.000 0.500  0.76
Ca1 0.500 0.500 0.500  -0.01

D(E_F)	2.7	states/eV per cell
crystal system	tetragonal
volume	133	Å³ per cell

---

2 | ## CaZnI2N (GGA-PBE)

Data for a relaxed CaZnI2N crystal.

Unit cell a=6.199 b=6.199 c=4.710 alpha=90.00 beta=90.00 gamma=90.00
Last column: magnetic moment on the atom in μB.
Positions (direct):
N1 0.000 0.000 0.500  1.34
I1 0.500 0.000 0.000  0.07
I2 0.000 0.500 0.000  0.07
Ca1 0.000 0.000 0.000  0.01
Zn1 0.500 0.500 0.500  0.06

D(E_F)	4.2	states/eV per cell
crystal system	tetragonal
volume	181	Å³ per cell

---

Of them, 1 has the highest stability.

---

1 | ## CaZrIN2 (GGA-PBE)

Data for a relaxed CaZrIN2 crystal.

Unit cell a=4.328 b=4.328 c=5.743 alpha=90.00 beta=90.00 gamma=90.00
Last column: magnetic moment on the atom in μB.
Positions (direct):
Zr1 0.000 0.000 0.000  -0.02
Ca1 0.500 0.500 0.500  -0.01
N1 0.000 0.500 0.000  0.17
N2 0.500 0.000 0.000  0.17
I1 0.000 0.000 0.500  0.00

D(E_F)	2.1	states/eV per cell
crystal system	tetragonal
volume	108	Å³ per cell

---

2 | ## CaZrIN2 (GGA-PBE)

Data for a relaxed CaZrIN2 crystal.

Unit cell a=4.370 b=4.370 c=5.541 alpha=90.00 beta=90.00 gamma=90.00
Positions (direct):
Ca1 0.000 0.000 0.000
Zr1 0.500 0.500 0.500
I1 0.000 0.000 0.500
N1 0.000 0.500 0.000
N2 0.500 0.000 0.000

D(E_F)	5.5	states/eV per cell
crystal system	tetragonal
volume	106	Å³ per cell

---

Of them, 1 has the highest stability.

---

1 | ## Na2CaI4 (GGA-PBE)

Data for a relaxed Na2CaI4 crystal.

Unit cell a=4.568 b=8.031 c=8.031 alpha=109.35 beta=90.00 gamma=90.00
Positions (direct):
Na1 0.500 0.000 0.500
Na2 0.500 0.500 0.000
I1 0.500 0.236 0.236
I2 0.000 0.241 0.759
I3 0.000 0.759 0.241
I4 0.500 0.764 0.764
Ca1 0.000 0.000 0.000

D(E_F)	0.0	states/eV per cell
crystal system	orthorhombic
volume	278	Å³ per cell

---

2 | ## Na2CaI4 (GGA-PBE)

Data for a relaxed Na2CaI4 crystal.

Unit cell a=6.168 b=6.168 c=9.275 alpha=109.42 beta=109.42 gamma=90.00
Positions (direct):
I1 0.814 0.814 0.628
I2 0.186 0.186 0.372
I3 0.000 0.500 0.000
I4 0.500 0.000 0.000
Na1 0.368 0.368 0.736
Na2 0.632 0.632 0.264
Ca1 0.000 0.000 0.000

D(E_F)	0.0	states/eV per cell
crystal system	tetragonal
volume	311	Å³ per cell

---

Of them, 1 has the highest stability.

---

1 | ## Na2Ca2I (GGA-PBE)

Data for a relaxed Na2Ca2I crystal.

Unit cell a=8.513 b=8.513 c=5.719 alpha=90.00 beta=90.00 gamma=90.00
Positions (direct):
Ca1 0.659 0.159 0.000
Ca2 0.341 0.841 0.000
Ca3 0.841 0.659 0.000
Ca4 0.159 0.341 0.000
I1 0.000 0.000 0.000
I2 0.500 0.500 0.000
Na1 0.859 0.359 0.500
Na2 0.641 0.859 0.500
Na3 0.359 0.141 0.500
Na4 0.141 0.641 0.500

D(E_F)	9.6	states/eV per cell
crystal system	tetragonal
volume	414	Å³ per cell

---

2 | ## Na2Ca2I (GGA-PBE)

Data for a relaxed Na2Ca2I crystal.

Unit cell a=8.215 b=8.215 c=5.932 alpha=90.00 beta=90.00 gamma=90.00
Positions (direct):
Ca1 0.339 0.161 0.500
Ca2 0.839 0.339 0.500
Ca3 0.661 0.839 0.500
Ca4 0.161 0.661 0.500
Na1 0.360 0.860 0.000
Na2 0.140 0.360 0.000
Na3 0.860 0.640 0.000
Na4 0.640 0.140 0.000
I1 0.500 0.500 0.000
I2 0.000 0.000 0.000

D(E_F)	9.5	states/eV per cell
crystal system	tetragonal
volume	400	Å³ per cell

---

Of them, 1 has the highest stability.

---

1 | ## NaCa3I (GGA-PBE)

Data for a relaxed NaCa3I crystal.

Unit cell a=6.363 b=6.363 c=6.363 alpha=90.00 beta=90.00 gamma=90.00
Positions (direct):
Ca1 0.000 0.500 0.000
Ca2 0.500 0.000 0.000
Ca3 0.000 0.000 0.500
I1 0.000 0.000 0.000
Na1 0.500 0.500 0.500

D(E_F)	6.9	states/eV per cell
crystal system	cubic
volume	258	Å³ per cell

---

2 | ## NaCa3I (GGA-PBE)

Data for a relaxed NaCa3I crystal.

Unit cell a=6.200 b=6.200 c=6.200 alpha=90.00 beta=90.00 gamma=90.00
Positions (direct):
Ca1 0.000 0.000 0.500
Ca2 0.000 0.500 0.000
Ca3 0.500 0.000 0.000
Na1 0.000 0.000 0.000
I1 0.500 0.500 0.500

D(E_F)	4.2	states/eV per cell
crystal system	cubic
volume	238	Å³ per cell

---

Of them, 1 has the highest stability.

---

1 | ## NaCaI (GGA-PBE)

Data for a relaxed NaCaI crystal.

Unit cell a=4.182 b=4.179 c=15.358 alpha=90.00 beta=90.00 gamma=120.02
Last column: magnetic moment on the atom in μB.
Positions (direct):
Na1 0.610 0.220 0.693  0.00
Na2 0.610 0.220 0.307  0.00
I1 0.279 0.559 0.865  0.00
I2 0.279 0.559 0.135  0.00
Ca1 0.275 0.550 0.500  0.00
Ca2 0.613 0.226 0.000  0.10

D(E_F)	3.6	states/eV per cell
crystal system	orthorhombic
volume	232	Å³ per cell

---

2 | ## NaCaI (GGA-PBE)

Data for a relaxed NaCaI crystal.

Unit cell a=3.950 b=3.950 c=7.742 alpha=104.78 beta=104.78 gamma=90.00
Positions (direct):
Na1 0.002 0.002 0.004
I1 0.314 0.314 0.628
Ca1 0.684 0.684 0.368

D(E_F)	1.2	states/eV per cell
crystal system	tetragonal
volume	113	Å³ per cell

---

Of them, 1 has the highest stability.

---

1 | ## NaCa2I2 (GGA-PBE)

Data for a relaxed NaCa2I2 crystal.

Unit cell a=9.220 b=9.220 c=3.984 alpha=90.00 beta=90.00 gamma=90.00
Positions (direct):
Ca1 0.658 0.842 0.500
Ca2 0.342 0.158 0.500
Ca3 0.158 0.658 0.500
Ca4 0.842 0.342 0.500
Na1 0.500 0.500 0.000
Na2 0.000 0.000 0.000
I1 0.860 0.640 0.000
I2 0.360 0.860 0.000
I3 0.640 0.140 0.000
I4 0.140 0.360 0.000

D(E_F)	7.1	states/eV per cell
crystal system	tetragonal
volume	339	Å³ per cell

---

2 | ## NaCa2I2 (GGA-PBE)

Data for a relaxed NaCa2I2 crystal.

Unit cell a=5.476 b=5.476 c=8.233 alpha=70.58 beta=70.58 gamma=90.00
Positions (direct):
Na1 0.000 0.000 0.000
I1 0.750 0.250 0.500
I2 0.250 0.750 0.500
Ca1 0.372 0.372 0.256
Ca2 0.628 0.628 0.744

D(E_F)	2.3	states/eV per cell
crystal system	tetragonal
volume	218	Å³ per cell

---

Of them, 2 has the highest stability.